The following is a DFT calculation (meta-GGA SCAN) of a crystal of Sc3Hg relaxed with PBEsol.

The structure in POSCAR format:
```
Sc3Hg
1.0
3.286 0.000 0.000
0.000 4.310 0.000
0.000 0.000 6.158
Sc Hg
3 1
Direct
0.000 0.000 0.500
0.500 0.500 0.245
0.500 0.500 0.755
0.000 0.000 0.000
```

Output
DFT total energy: -28.01 eV per atom
M_tot: 0.58 μB/f.u.
ΔH_f (0 K): -0.2951 eV/atom